CaN2 | Alexandria via LeMat-Bulk | GGA-PBE | relaxed; crystal system = hexagonal; total energy = -39.31 eV for the cell shown; total moment = 0.65 μB/f.u.; space group = P6_3/mmc
1.0
3.552 0.000 0.000
-1.776 3.076 0.000
0.000 0.000 8.291
Ca N
2 4
direct
0.333 0.667 0.250
0.667 0.333 0.750
0.000 0.000 0.075
0.000 0.000 0.425
0.000 0.000 0.575
0.000 0.000 0.925